*i*
Below is crystalline Be2ZnB at its relaxed geometry, with properties calculated at the PBE level.

Lattice parameters (Å, degrees): 3.771 3.771 6.938 74.23 74.23 90.00
Fractional positions:
B  0.500  0.500  0.000
B  0.250  0.750  0.500
Zn  0.750  0.250  0.500
Zn  0.000  0.000  0.000
Be  0.356  0.625  0.250
Be  0.394  0.125  0.250
Be  0.875  0.644  0.750
Be  0.375  0.606  0.750

## Properties
Crystal system ... tetragonal
Symmetry ... I-42d

*ii*
Below is crystalline Be2ZnB at its relaxed geometry, with properties calculated at the PBE level.

Lattice parameters (Å, degrees): 3.742 3.742 3.742 60.00 60.00 60.00
Fractional positions:
Be  0.750  0.750  0.750
Be  0.250  0.250  0.250
Zn  0.500  0.500  0.500
B  0.000  0.000  0.000

## Properties
Crystal system ... cubic
Symmetry ... Fm-3m

Which one is most stable, and which one is least stable? *i* is the most stable of them, while *ii* is the least stable.

*i*
Below is crystalline BeZn2B2 at its relaxed geometry, with properties calculated at the PBE level.

Lattice parameters (Å, degrees): 3.460 3.460 5.130 70.29 70.29 90.00
Fractional positions:
Zn  0.750  0.250  0.500
Zn  0.250  0.750  0.500
B  0.411  0.411  0.178
B  0.589  0.589  0.822
Be  0.000  0.000  0.000

## Properties
Crystal system ... tetragonal
Symmetry ... I4/mmm

*ii*
Below is crystalline BeZn2B2 at its relaxed geometry, with properties calculated at the PBE level.

Lattice parameters (Å, degrees): 5.388 5.388 3.497 90.00 90.00 90.00
Fractional positions:
B  0.389  0.889  0.000
B  0.889  0.611  0.000
B  0.611  0.111  0.000
B  0.111  0.389  0.000
Be  0.500  0.500  0.000
Be  0.000  0.000  0.000
Zn  0.202  0.702  0.500
Zn  0.798  0.298  0.500
Zn  0.298  0.202  0.500
Zn  0.702  0.798  0.500

## Properties
Crystal system ... tetragonal
Symmetry ... P4/mbm

Which one is most stable, and which one is least stable? *ii* is the most stable of them, while *i* is the least stable.

*i*
Below is crystalline BeZnB3 at its relaxed geometry, with properties calculated at the PBE level.

Lattice parameters (Å, degrees): 3.982 3.982 3.982 90.00 90.00 90.00
Fractional positions:
B  0.000  0.500  0.000
B  0.000  0.000  0.500
B  0.500  0.000  0.000
Be  0.500  0.500  0.500
Zn  0.000  0.000  0.000

## Properties
Crystal system ... cubic
Symmetry ... Pm-3m

*ii*
Below is crystalline BeZnB3 at its relaxed geometry, with properties calculated at the PBE level.

Lattice parameters (Å, degrees): 3.690 3.690 3.690 90.00 90.00 90.00
Fractional positions:
B  0.500  0.000  0.000
B  0.000  0.000  0.500
B  0.000  0.500  0.000
Zn  0.500  0.500  0.500
Be  0.000  0.000  0.000

## Properties
Crystal system ... cubic
Symmetry ... Pm-3m

Which one is most stable, and which one is least stable? *ii* is the most stable of them, while *i* is the least stable.